First-principles (PBE) data for DyMg6Zr after structural relaxation, as listed in Alexandria via LeMat-Bulk.

CIF file:
```
data_DyMg6Zr
_chemical_formula_sum 'Dy1 Mg6 Zr1'
_symmetry_space_group_name_H-M 'P 1'
_symmetry_Int_Tables_number 1
_cell_length_a 4.619
_cell_length_b 4.619
_cell_length_c 8.884
_cell_angle_alpha 90.00
_cell_angle_beta 90.00
_cell_angle_gamma 90.00
loop_
_symmetry_equiv_pos_as_xyz
'x,y,z'
loop_
_atom_site_label
_atom_site_type_symbol
_atom_site_fract_x
_atom_site_fract_y
_atom_site_fract_z
Dy1 Dy 0.000 0.000 0.000
Mg1 Mg 0.000 0.500 0.262
Mg2 Mg 0.000 0.500 0.738
Mg3 Mg 0.500 0.000 0.262
Mg4 Mg 0.500 0.000 0.738
Mg5 Mg 0.500 0.500 0.000
Mg6 Mg 0.500 0.500 0.500
Zr1 Zr 0.000 0.000 0.500
```

Properties
Space-group type: P4/mmm (123)
Raw total energy (eV/cell): -22.8
ΔH_f (0 K) (eV/atom): -0.012